Entry 1:
This record from Alexandria describes a relaxed ScCo2Cl crystal. The functional is PBE.

Results
D(E_F): 3.76 states/eV/cell
Formation energy from raw total energies: -0.2939 eV/atom
Offset from the most stable computed form: 82 meV per atom
Space-group type: P4mm, No. 99

a = 3.147 Å, b = 3.146 Å, c = 7.589 Å
α = 90.00°, β = 90.00°, γ = 90.00°
Each line ends with the local moment (μB).
Fractional coordinates of all 4 atoms:
1 Co 0.500 0.500 0.232  1.40
2 Cl 0.500 0.500 0.669  0.00
3 Sc 0.000 0.000 0.465  -0.39
4 Co 0.000 0.000 0.134  1.64

Entry 2:
This record from Alexandria describes a relaxed ScCoCl2 crystal. The functional is PBE.

Results
D(E_F): 3.45 states/eV/cell
Formation energy from raw total energies: -0.7189 eV/atom
Offset from the most stable computed form: 192 meV per atom
Space-group type: P4mm, No. 99

a = 3.202 Å, b = 3.202 Å, c = 7.908 Å
α = 90.00°, β = 90.00°, γ = 90.00°
Each line ends with the local moment (μB).
Fractional coordinates of all 4 atoms:
1 Co 0.000 0.000 0.496  1.62
2 Cl 0.500 0.500 0.369  0.13
3 Sc 0.500 0.500 0.715  -0.09
4 Cl 0.000 0.000 0.919  -0.01

Entry 3:
This record from Alexandria describes a relaxed ScCoCl crystal. The functional is PBE.

Results
D(E_F): 1.39 states/eV/cell
Formation energy from raw total energies: -0.3284 eV/atom
Space-group type: P-6m2, No. 187

a = 3.950 Å, b = 3.950 Å, c = 3.303 Å
α = 90.00°, β = 90.00°, γ = 120.00°
Fractional coordinates of all 3 atoms:
1 Co 0.333 0.667 0.167
2 Cl 0.000 0.000 0.166
3 Sc 0.667 0.333 0.667

Entry 4:
This record from Alexandria describes a relaxed ScCoCl2 crystal. The functional is PBE.

Results
D(E_F): 0.16 states/eV/cell
Formation energy from raw total energies: -0.8348 eV/atom
Offset from the most stable computed form: 77 meV per atom
Space-group type: R3m, No. 160

a = 8.827 Å, b = 8.827 Å, c = 8.827 Å
α = 22.42°, β = 22.42°, γ = 22.42°
Each line ends with the local moment (μB).
Fractional coordinates of all 4 atoms:
1 Cl 0.217 0.217 0.217  0.14
2 Cl 0.026 0.026 0.026  0.00
3 Co 0.500 0.500 0.500  1.89
4 Sc 0.757 0.757 0.757  -0.05

Entry 5:
This record from Alexandria describes a relaxed ScCoCl2 crystal. The functional is PBE.

Results
D(E_F): 1.72 states/eV/cell
Formation energy from raw total energies: -0.7154 eV/atom
Offset from the most stable computed form: 196 meV per atom
Space-group type: Imm2, No. 44

a = 6.984 Å, b = 6.984 Å, c = 6.984 Å
α = 153.08°, β = 149.24°, γ = 41.33°
Fractional coordinates of all 4 atoms:
1 Sc 0.330 0.830 0.500
2 Co 0.469 0.469 0.000
3 Cl 0.972 0.972 0.000
4 Cl 0.729 0.229 0.500

Entry 6:
This record from Alexandria describes a relaxed ScCoCl crystal. The functional is PBE.

Results
D(E_F): 1.36 states/eV/cell
Formation energy from raw total energies: -0.4817 eV/atom
Space-group type: P3m1, No. 156

a = 3.276 Å, b = 3.276 Å, c = 6.260 Å
α = 90.00°, β = 90.00°, γ = 120.00°
Each line ends with the local moment (μB).
Fractional coordinates of all 3 atoms:
1 Co 0.667 0.333 0.390  1.01
2 Sc 0.333 0.667 0.662  -0.27
3 Cl 0.000 0.000 0.948  0.00

Entry 7:
This record from Alexandria describes a relaxed ScCoCl2 crystal. The functional is PBE.

Results
D(E_F): 7.08 states/eV/cell
Formation energy from raw total energies: -0.0812 eV/atom
Offset from the most stable computed form: 830 meV per atom
Space-group type: F-43m, No. 216

a = 4.669 Å, b = 4.669 Å, c = 4.669 Å
α = 60.00°, β = 60.00°, γ = 60.00°
Each line ends with the local moment (μB).
Fractional coordinates of all 4 atoms:
1 Cl 0.000 0.000 0.000  0.04
2 Co 0.500 0.500 0.500  1.54
3 Cl 0.250 0.250 0.250  0.08
4 Sc 0.750 0.750 0.750  -0.17

Entry 8:
This record from Alexandria describes a relaxed ScCo2Cl crystal. The functional is PBE.

Results
D(E_F): 2.63 states/eV/cell
Formation energy from raw total energies: -0.3142 eV/atom
Offset from the most stable computed form: 62 meV per atom
Space-group type: R3m, No. 160

a = 7.200 Å, b = 7.200 Å, c = 7.200 Å
α = 29.44°, β = 29.44°, γ = 29.44°
Each line ends with the local moment (μB).
Fractional coordinates of all 4 atoms:
1 Sc 0.517 0.517 0.517  -0.17
2 Co 0.260 0.260 0.260  1.01
3 Co 0.951 0.951 0.951  1.47
4 Cl 0.772 0.772 0.772  -0.01

Entry 9:
This record from Alexandria describes a relaxed ScCo2Cl crystal. The functional is PBE.

Results
D(E_F): 3.97 states/eV/cell
Formation energy from raw total energies: 0.0016 eV/atom
Offset from the most stable computed form: 378 meV per atom
Space-group type: I4/mmm, No. 139

a = 5.727 Å, b = 5.727 Å, c = 5.727 Å
α = 144.65°, β = 144.65°, γ = 50.86°
Each line ends with the local moment (μB).
Fractional coordinates of all 4 atoms:
1 Co 0.500 0.500 0.000  1.68
2 Cl 0.750 0.250 0.500  0.00
3 Co 0.000 0.000 0.000  1.68
4 Sc 0.250 0.750 0.500  -0.23

Entry 10:
This record from Alexandria describes a relaxed ScCoCl2 crystal. The functional is PBE.

Results
D(E_F): 2.49 states/eV/cell
Formation energy from raw total energies: -0.3841 eV/atom
Offset from the most stable computed form: 527 meV per atom
Space-group type: I-4m2, No. 119

a = 5.826 Å, b = 5.826 Å, c = 5.826 Å
α = 143.90°, β = 143.90°, γ = 51.98°
Each line ends with the local moment (μB).
Fractional coordinates of all 4 atoms:
1 Sc 0.750 0.250 0.500  -0.32
2 Cl 0.250 0.750 0.500  0.00
3 Co 0.500 0.500 0.000  1.48
4 Cl 0.000 0.000 0.000  0.02

Entry 11:
This record from Alexandria describes a relaxed ScCoCl2 crystal. The functional is PBE.

Results
D(E_F): 2.59 states/eV/cell
Formation energy from raw total energies: -0.7583 eV/atom
Offset from the most stable computed form: 153 meV per atom
Space-group type: Cm, No. 8

a = 5.259 Å, b = 5.259 Å, c = 5.015 Å
α = 87.33°, β = 87.33°, γ = 37.10°
Each line ends with the local moment (μB).
Fractional coordinates of all 4 atoms:
1 Sc 0.225 0.225 0.165  -0.04
2 Cl 0.722 0.722 0.738  0.00
3 Cl 0.955 0.955 0.196  0.00
4 Co 0.598 0.598 0.401  0.10

Entry 12:
This record from Alexandria describes a relaxed ScCoCl2 crystal. The functional is PBE.

Results
D(E_F): 4.21 states/eV/cell
Formation energy from raw total energies: -0.4659 eV/atom
Offset from the most stable computed form: 445 meV per atom
Space-group type: P2/m, No. 10

a = 3.271 Å, b = 5.262 Å, c = 5.252 Å
α = 47.18°, β = 90.00°, γ = 90.00°
Each line ends with the local moment (μB).
Fractional coordinates of all 4 atoms:
1 Sc 0.000 0.000 0.500  -0.25
2 Co 0.500 0.500 0.500  1.42
3 Cl 0.500 0.500 0.000  0.02
4 Cl 0.000 0.000 0.000  0.04